18
Lattice="5.9573 0.0000 0.0000 0.0000 9.5823 0.0000 0.0000 0.0000 9.5823" Properties=species:S:1:pos:R:3 comment="AcPr4Pt4 (PBE-GGA, relaxed)" final_energy_ev_per_cell=-112.26 total_magnetization_mub_per_fu=0.000 delta_e_f_ev_per_atom=-0.971 dos_ef_per_ev_cell=10.78 pbc="T T T"
Pt 5.9556 1.0248 2.8698
Pt 2.9803 3.7663 1.9213
Pr 2.9767 8.5853 6.5423
Pt 2.9770 1.9213 5.8160
Pt 2.9803 5.8160 7.6610
Ac 2.9786 4.7911 4.7911
Pr 5.9553 1.7511 5.7882
Pr 0.0020 5.7882 7.8312
Pr 2.9806 3.0400 8.5853
Pr 2.9767 0.9970 3.0400
Pr 2.9806 6.5423 0.9970
Pr 0.0020 3.7941 1.7511
Pt 2.9770 7.6610 3.7663
Pt 5.9556 8.5575 6.7124
Ac 0.0000 0.0000 0.0000
Pt 0.0017 2.8698 8.5575
Pr 5.9553 7.8312 3.7941
Pt 0.0017 6.7124 1.0248

4
Lattice="6.9892 0.0299 -0.0324 3.0218 6.3023 0.0324 -4.0533 -4.6715 3.2556" Properties=species:S:1:pos:R:3 comment="KCa2Co (PBE-GGA, relaxed)" final_energy_ev_per_cell=-10.29 total_magnetization_mub_per_fu=1.001 delta_e_f_ev_per_atom=0.479 de_polymorph_ev_per_atom=0.188 dos_ef_per_ev_cell=3.85 pbc="T T T"
Ca 4.2517 2.6893 0.0000
Co 1.9870 2.3984 1.6440
K 3.9707 -0.7378 1.6116
Ca 0.7538 0.4768 0.0000

4
Lattice="3.2006 0.0000 0.0000 1.6003 2.7718 0.0000 1.6003 0.9239 11.3515" Properties=species:S:1:pos:R:3 comment="TmZr2Sn (PBE-GGA, relaxed)" final_energy_ev_per_cell=-25.09 total_magnetization_mub_per_fu=0.000 delta_e_f_ev_per_atom=0.121 de_polymorph_ev_per_atom=0.572 dos_ef_per_ev_cell=5.06 pbc="T T T"
Zr 4.8009 2.7718 3.1425
Zr 1.6003 0.9239 8.2090
Sn 3.2006 1.8479 5.6758
Tm 0.0000 0.0000 0.0000

20
Lattice="-1.5930 -2.1413 4.6228 5.1527 -4.3289 -0.2295 4.2633 4.8208 4.7873" Properties=species:S:1:pos:R:3 comment="Ti6Ni3C (PBE-GGA, relaxed)" final_energy_ev_per_cell=-153.80 total_magnetization_mub_per_fu=0.000 delta_e_f_ev_per_atom=-0.296 dos_ef_per_ev_cell=19.09 pbc="T T T"
Ti 4.0719 -4.1749 1.5721
Ni 1.7799 -3.2351 2.1966
Ti 6.3147 -0.4864 8.2913
Ni 2.1316 2.4104 2.3937
Ti 5.2674 -2.0680 3.5734
C 0.0000 0.0000 0.0000
Ti 3.4811 0.2909 2.8560
Ti 3.7511 2.5255 7.6085
Ti 4.5862 -4.7129 4.7951
Ti 2.3373 -2.1218 4.2129
Ti 2.5555 0.4186 5.6072
Ni 3.8521 -1.7592 1.4036
Ni 3.9709 0.1098 7.7770
Ti 5.4857 0.4724 4.9677
C 3.9115 -0.8247 4.5903
Ni 1.0755 0.0808 3.1415
Ti 1.5083 -1.1630 0.8893
Ti 4.3419 -1.9403 6.3246
Ti 3.2368 3.0635 4.3855
Ni 6.7475 -1.7302 6.0392